# NaCoAg2F8

A geometry-optimized NaCoAg2F8 structure (PBE+U, the Alexandria database).

Lattice parameters (Å, degrees): 6.7578 6.7578 6.7578 132.01 132.01 70.22
Atoms (fractional coordinates):
Na1 0.0000 0.0000 0.0000
Co1 0.2500 0.7500 0.5000
Ag1 0.5000 0.5000 0.0000
Ag2 0.7500 0.2500 0.5000
F1 0.1027 0.5777 0.8883
F2 0.1371 0.0280 0.4811
F3 0.3440 0.8629 0.8909
F4 0.4223 0.3105 0.5250
F5 0.5469 0.6560 0.5189
F6 0.6895 0.2145 0.1117
F7 0.7855 0.8973 0.4750
F8 0.9720 0.4531 0.1091

Results
total magnetic moment = 6.07 μB/f.u.
final energy = -46.0 eV/f.u.